Record 1
Here is crystalline SmPu4Te6 at its relaxed geometry from the Alexandria database. Energies are from PBE.

Geometry as CIF:
```
data_SmPu4Te6
_chemical_formula_sum 'Sm4 Pu16 Te24'
_space_group_name_H-M_alt 'C m c m'
_space_group_IT_number 63
_space_group_name_Hall '-C 2c 2'
_cell_length_a 4.3563
_cell_length_b 14.6330
_cell_length_c 22.6300
_cell_angle_alpha 90.00
_cell_angle_beta 90.00
_cell_angle_gamma 90.00
loop_
_atom_site_label
_atom_site_fract_x
_atom_site_fract_y
_atom_site_fract_z
Sm1 0.0000 0.1545 0.2500
Pu1 0.0000 0.0879 0.6288
Pu2 0.0000 0.3594 0.5399
Te1 0.0000 0.0000 0.0000
Te2 0.0000 0.1903 0.7500
Te3 0.0000 0.2728 0.0884
Te4 0.0000 0.4464 0.6670
```

Properties
Size of the total moment: 22.94 μB/f.u.
Raw formation energy: -109.1 kJ per mole of atoms

***

Record 2
Here is crystalline LaYCoHg at its relaxed geometry from the Alexandria database. Energies are from PBE.

Geometry as CIF:
```
data_LaYCoHg
_chemical_formula_sum 'La4 Y4 Co4 Hg4'
_space_group_name_H-M_alt 'F -4 3 m'
_space_group_IT_number 216
_space_group_name_Hall 'F -4 2 3'
_cell_length_a 7.3196
_cell_length_b 7.3196
_cell_length_c 7.3196
_cell_angle_alpha 90.00
_cell_angle_beta 90.00
_cell_angle_gamma 90.00
loop_
_atom_site_label
_atom_site_fract_x
_atom_site_fract_y
_atom_site_fract_z
La1 0.0000 0.0000 0.0000
Y1 0.0000 0.0000 0.5000
Co1 0.2500 0.2500 0.2500
Hg1 0.2500 0.2500 0.7500
```

Properties
Size of the total moment: 0.41 μB/f.u.
Calculated formation energy: -0.16 eV per atom

***

Record 3
Here is crystalline KTcSb2 at its relaxed geometry from the Alexandria database. Energies are from PBE.

Geometry as CIF:
```
data_KTcSb2
_chemical_formula_sum 'K3 Tc3 Sb6'
_space_group_name_H-M_alt 'R -3 m'
_space_group_IT_number 166
_space_group_name_Hall '-R 3 2"'
_cell_length_a 3.6002
_cell_length_b 3.6002
_cell_length_c 27.9516
_cell_angle_alpha 90.00
_cell_angle_beta 90.00
_cell_angle_gamma 120.00
loop_
_atom_site_label
_atom_site_fract_x
_atom_site_fract_y
_atom_site_fract_z
K1 0.0000 0.0000 0.0000
Tc1 0.0000 0.0000 0.5000
Sb1 0.0000 0.0000 0.2299
```

Properties
Size of the total moment: 0.01 μB/f.u.
Excess energy over the best structure of this formula in the dataset: 0.57 eV/f.u.
Raw formation energy: -0.4 kJ per mole of atoms

***

Record 4
Here is crystalline PtN2ClO at its relaxed geometry from the Alexandria database. Energies are from PBE.

Geometry as CIF:
```
data_PtN2ClO
_chemical_formula_sum 'Pt1 N2 Cl1 O1'
_space_group_name_H-M_alt 'P 4/m m m'
_space_group_IT_number 123
_space_group_name_Hall '-P 4 2'
_cell_length_a 3.4918
_cell_length_b 3.4918
_cell_length_c 6.3358
_cell_angle_alpha 90.00
_cell_angle_beta 90.00
_cell_angle_gamma 90.00
loop_
_atom_site_label
_atom_site_fract_x
_atom_site_fract_y
_atom_site_fract_z
Pt1 0.0000 0.0000 0.0000
N1 0.0000 0.5000 0.5000
Cl1 0.5000 0.5000 0.0000
O1 0.5000 0.5000 0.5000
```

Properties
Size of the total moment: 2.90 μB/f.u.
Raw formation energy: 219.7 kJ per mole of atoms

***

Record 5
Here is crystalline TbCeEr2In4 at its relaxed geometry from the Alexandria database. Energies are from PBE.

Geometry as CIF:
```
data_TbCeEr2In4
_chemical_formula_sum 'Tb3 Ce3 Er6 In12'
_space_group_name_H-M_alt 'R -3 m'
_space_group_IT_number 166
_space_group_name_Hall '-R 3 2"'
_cell_length_a 5.3327
_cell_length_b 5.3327
_cell_length_c 26.2822
_cell_angle_alpha 90.00
_cell_angle_beta 90.00
_cell_angle_gamma 120.00
loop_
_atom_site_label
_atom_site_fract_x
_atom_site_fract_y
_atom_site_fract_z
Tb1 0.0000 0.0000 0.0000
Ce1 0.0000 0.0000 0.5000
Er1 0.0000 0.0000 0.2502
In1 0.0000 0.0000 0.1237
In2 0.0000 0.0000 0.3739
```

Properties
Size of the total moment: 0.94 μB/f.u.
Calculated formation energy: -0.42 eV per atom

***

Record 6
Here is crystalline CaHo2S4 at its relaxed geometry from the Alexandria database. Energies are from PBE.

Geometry as CIF:
```
data_CaHo2S4
_chemical_formula_sum 'Ca4 Ho8 S16'
_space_group_name_H-M_alt 'I -4 2 d'
_space_group_IT_number 122
_space_group_name_Hall 'I -4 2bw'
_cell_length_a 8.3545
_cell_length_b 8.3545
_cell_length_c 8.3702
_cell_angle_alpha 90.00
_cell_angle_beta 90.00
_cell_angle_gamma 90.00
loop_
_atom_site_label
_atom_site_fract_x
_atom_site_fract_y
_atom_site_fract_z
Ca1 0.0000 0.0000 0.0000
Ho1 0.1267 0.2500 0.6250
S1 0.0717 0.1783 0.3110
```

Properties
Size of the total moment: 0.00 μB/f.u.
Excess energy over the best structure of this formula in the dataset: 0.29 eV/f.u.
Raw formation energy: -199.2 kJ per mole of atoms

***

Record 7
Here is crystalline Nd4Au2O at its relaxed geometry from the Alexandria database. Energies are from PBE.

Geometry as CIF:
```
data_Nd4Au2O
_chemical_formula_sum 'Nd8 Au4 O2'
_space_group_name_H-M_alt 'I 4/m m m'
_space_group_IT_number 139
_space_group_name_Hall '-I 4 2'
_cell_length_a 4.8727
_cell_length_b 4.8727
_cell_length_c 15.2021
_cell_angle_alpha 90.00
_cell_angle_beta 90.00
_cell_angle_gamma 90.00
loop_
_atom_site_label
_atom_site_fract_x
_atom_site_fract_y
_atom_site_fract_z
Nd1 0.0000 0.0000 0.1809
Nd2 0.0000 0.5000 0.0000
Au1 0.0000 0.0000 0.3705
O1 0.0000 0.0000 0.0000
```

Properties
Size of the total moment: 0.00 μB/f.u.
Excess energy over the best structure of this formula in the dataset: 0.00 eV/f.u.
Raw formation energy: -117.2 kJ per mole of atoms

***

Record 8
Here is crystalline LiP2Au at its relaxed geometry from the Alexandria database. Energies are from PBE.

Geometry as CIF:
```
data_LiP2Au
_chemical_formula_sum 'Li4 P8 Au4'
_space_group_name_H-M_alt 'C 1 c 1'
_space_group_IT_number 9
_cell_length_a 6.3925
_cell_length_b 9.7561
_cell_length_c 5.4283
_cell_angle_alpha 90.00
_cell_angle_beta 121.53
_cell_angle_gamma 90.00
loop_
_space_group_symop_operation_xyz
'x,y,z'
'x,-y,z+1/2'
'x+1/2,y+1/2,z'
'x+1/2,-y+1/2,z+1/2'
loop_
_atom_site_label
_atom_site_fract_x
_atom_site_fract_y
_atom_site_fract_z
Li1 0.0000 0.1954 0.0000
P1 0.3199 0.1058 0.6770
P2 0.4402 0.1022 0.1383
Au1 0.3806 0.4103 0.9158
```

Properties
Size of the total moment: 0.00 μB/f.u.
Calculated formation energy: -0.35 eV per atom
Excess energy over the best structure of this formula in the dataset: 0.00 eV/f.u.

***

Record 9
Here is crystalline PuTh8Sc5 at its relaxed geometry from the Alexandria database. Energies are from PBE.

Geometry as CIF:
```
data_PuTh8Sc5
_chemical_formula_sum 'Pu2 Th16 Sc10'
_space_group_name_H-M_alt 'C 1 2 1'
_space_group_IT_number 5
_cell_length_a 12.0912
_cell_length_b 11.1132
_cell_length_c 8.6376
_cell_angle_alpha 90.00
_cell_angle_beta 134.23
_cell_angle_gamma 90.00
loop_
_space_group_symop_operation_xyz
'x,y,z'
'-x,y,-z'
'x+1/2,y+1/2,z'
'-x+1/2,y+1/2,-z'
loop_
_atom_site_label
_atom_site_fract_x
_atom_site_fract_y
_atom_site_fract_z
Pu1 0.0000 0.0000 0.0000
Th1 0.0538 0.8119 0.8031
Th2 0.0830 0.4687 0.9023
Th3 0.1882 0.2445 0.2609
Th4 0.1923 0.3421 0.6270
Sc1 0.0000 0.5891 0.5000
Sc2 0.1103 0.1545 0.8204
Sc3 0.2077 0.0360 0.5671
```

Properties
Size of the total moment: 5.68 μB/f.u.
Calculated formation energy: 0.19 eV per atom

***

Record 10
Here is crystalline ErAg4Hg2 at its relaxed geometry from the Alexandria database. Energies are from PBE.

Geometry as CIF:
```
data_ErAg4Hg2
_chemical_formula_sum 'Er2 Ag8 Hg4'
_space_group_name_H-M_alt 'I 4/m m m'
_space_group_IT_number 139
_space_group_name_Hall '-I 4 2'
_cell_length_a 7.2182
_cell_length_b 7.2182
_cell_length_c 5.6206
_cell_angle_alpha 90.00
_cell_angle_beta 90.00
_cell_angle_gamma 90.00
loop_
_atom_site_label
_atom_site_fract_x
_atom_site_fract_y
_atom_site_fract_z
Er1 0.0000 0.0000 0.0000
Ag1 0.1941 0.1941 0.5000
Hg1 0.0000 0.5000 0.2500
```

Properties
Size of the total moment: 0.00 μB/f.u.
Calculated formation energy: -0.06 eV per atom

***

- Which formula does entry 4 have?
  PtN2ClO